(1)
{
  "formula": "DyYRu",
  "functional": "PBE",
  "state": "optimized geometry",
  "ef_ev_per_fu": -0.7,
  "de_polymorph_ev_per_atom": 0.081,
  "e_tot_ev_per_cell": -84.32,
  "lattice_angstrom": [[-1.751, 4.204, -1.035], [-4.822, -1.002, 4.088], [5.526, 4.156, 7.537]],
  "species": ["Dy", "Dy", "Dy", "Dy", "Y", "Y", "Y", "Y", "Ru", "Ru", "Ru", "Ru"],
  "frac_coords": [[0.750, 0.866, 0.201], [0.750, 0.634, 0.701], [0.250, 0.134, 0.799], [0.250, 0.366, 0.299], [0.250, 0.807, 0.461], [0.750, 0.307, 0.039], [0.250, 0.693, 0.961], [0.750, 0.193, 0.539], [0.750, 0.580, 0.402], [0.750, 0.920, 0.902], [0.250, 0.080, 0.098], [0.250, 0.420, 0.598]]
}

(2)
{
  "formula": "ScNb2Ru4",
  "functional": "PBE",
  "state": "optimized geometry",
  "ef_ev_per_fu": -0.6,
  "de_polymorph_ev_per_atom": 0.000,
  "e_tot_ev_per_cell": -64.15,
  "lattice_angstrom": [[-2.966, -3.163, -0.704], [-0.569, -3.179, 2.977], [-6.165, 1.835, 4.022]],
  "species": ["Sc", "Nb", "Nb", "Ru", "Ru", "Ru", "Ru"],
  "frac_coords": [[0.000, 0.000, 0.000], [0.756, 0.756, 0.732], [0.244, 0.244, 0.268], [0.875, 0.875, 0.376], [0.125, 0.125, 0.624], [0.623, 0.623, 0.132], [0.377, 0.377, 0.868]]
}

Record-wise magnetic moment values, in μB/atom: 0.0000, 0.0000